## BaMnMo (PBE-GGA)

Data for a geometry-optimized BaMnMo structure.

Results
- ΔE_f (meV/atom) = 551
- N(E_F) (states/eV/f.u.) = 3.67
- symmetry = No. 1
- energy (eV/atom) = -6.757
- distance to the lowest polymorph of the same formula (eV per atom) = 0.100

Cell lengths 4.196, 4.784, 10.226 Å; angles 83.47, 89.64, 64.02 degrees
Atoms (fractional coordinates):
Ba 0.000 0.000 0.000
Ba 0.357 0.305 0.395
Mn 0.077 0.860 0.596
Mn 0.832 0.347 0.654
Mo 0.287 0.434 0.777
Mo 0.562 0.884 0.724